Entry 1:
ZnAg5 at its PBEsol-relaxed geometry. Source: Alexandria via LeMat-Bulk, functional meta-GGA SCAN.

Calculated values
For the energy of formation, the calculation gives -0.003 eV/atom. As for the energy above the most stable polymorph in this dataset: 4 meV/atom. Its space-group type is Cmmm. Its raw total energy is -170.37 eV for the cell shown.

Geometry as CIF:
```
data_ZnAg5
_chemical_formula_sum 'Zn1 Ag5'
_space_group_name_H-M_alt 'P 1'
_space_group_IT_number 1
_cell_length_a 6.3920
_cell_length_b 6.3920
_cell_length_c 3.9453
_cell_angle_alpha 90.00
_cell_angle_beta 90.00
_cell_angle_gamma 143.24
loop_
_space_group_symop_operation_xyz
'x,y,z'
loop_
_atom_site_label
_atom_site_fract_x
_atom_site_fract_y
_atom_site_fract_z
Zn1 0.0000 0.0000 0.0000
Ag1 0.1644 0.8356 0.5000
Ag2 0.3357 0.6643 0.0000
Ag3 0.5000 0.5000 0.5000
Ag4 0.6643 0.3357 0.0000
Ag5 0.8356 0.1644 0.5000
```

Entry 2:
LiHf2Se2 at its PBEsol-relaxed geometry. Source: Alexandria via LeMat-Bulk, functional meta-GGA SCAN.

Calculated values
Its space-group type is P4/mbm. Its raw total energy is -343.43 eV for the cell shown.

Geometry as CIF:
```
data_LiHf2Se2
_chemical_formula_sum 'Li2 Hf4 Se4'
_space_group_name_H-M_alt 'P 1'
_space_group_IT_number 1
_cell_length_a 7.2620
_cell_length_b 7.2620
_cell_length_c 3.4124
_cell_angle_alpha 90.00
_cell_angle_beta 90.00
_cell_angle_gamma 90.00
loop_
_space_group_symop_operation_xyz
'x,y,z'
loop_
_atom_site_label
_atom_site_fract_x
_atom_site_fract_y
_atom_site_fract_z
Li1 0.0000 0.0000 0.0000
Li2 0.5000 0.5000 0.0000
Hf1 0.1481 0.3519 0.5000
Hf2 0.3519 0.8519 0.5000
Hf3 0.6481 0.1481 0.5000
Hf4 0.8519 0.6481 0.5000
Se1 0.1476 0.6476 0.0000
Se2 0.3524 0.1476 0.0000
Se3 0.6476 0.8524 0.0000
Se4 0.8524 0.3524 0.0000
```

Entry 3:
BaCdAg at its PBEsol-relaxed geometry. Source: Alexandria via LeMat-Bulk, functional meta-GGA SCAN.

Calculated values
For the energy of formation, the calculation gives -0.319 eV/atom. Its space-group type is P-6m2. Its raw total energy is -102.29 eV for the cell shown.

Geometry as CIF:
```
data_BaCdAg
_chemical_formula_sum 'Ba1 Cd1 Ag1'
_space_group_name_H-M_alt 'P 1'
_space_group_IT_number 1
_cell_length_a 4.9092
_cell_length_b 4.9092
_cell_length_c 4.2884
_cell_angle_alpha 90.00
_cell_angle_beta 90.00
_cell_angle_gamma 120.00
loop_
_space_group_symop_operation_xyz
'x,y,z'
loop_
_atom_site_label
_atom_site_fract_x
_atom_site_fract_y
_atom_site_fract_z
Ba1 0.0000 0.0000 0.0000
Cd1 0.3333 0.6667 0.5000
Ag1 0.6667 0.3333 0.5000
```

Repeat the second record exactly.
LiHf2Se2 at its PBEsol-relaxed geometry. Source: Alexandria via LeMat-Bulk, functional meta-GGA SCAN.

Calculated values
Its space-group type is P4/mbm. Its raw total energy is -343.43 eV for the cell shown.

Geometry as CIF:
```
data_LiHf2Se2
_chemical_formula_sum 'Li2 Hf4 Se4'
_space_group_name_H-M_alt 'P 1'
_space_group_IT_number 1
_cell_length_a 7.2620
_cell_length_b 7.2620
_cell_length_c 3.4124
_cell_angle_alpha 90.00
_cell_angle_beta 90.00
_cell_angle_gamma 90.00
loop_
_space_group_symop_operation_xyz
'x,y,z'
loop_
_atom_site_label
_atom_site_fract_x
_atom_site_fract_y
_atom_site_fract_z
Li1 0.0000 0.0000 0.0000
Li2 0.5000 0.5000 0.0000
Hf1 0.1481 0.3519 0.5000
Hf2 0.3519 0.8519 0.5000
Hf3 0.6481 0.1481 0.5000
Hf4 0.8519 0.6481 0.5000
Se1 0.1476 0.6476 0.0000
Se2 0.3524 0.1476 0.0000
Se3 0.6476 0.8524 0.0000
Se4 0.8524 0.3524 0.0000
```

Q: Among the records above, which one has the highest raw total energy?
A: BaCdAg

Q: Which value of raw total energy does entry 3 give?
A: -102.29 eV for the cell shown